Record 1
Below is a geometry-optimized Na2SrZnSb2 structure, with properties calculated at the PBE-GGA level.

Structure (CIF):
```
data_Na2SrZnSb2
_chemical_formula_sum 'Na4 Sr2 Zn2 Sb4'
_space_group_name_H-M_alt 'P m c 21'
_space_group_IT_number 26
_space_group_name_Hall 'P 2c -2'
_cell_length_a 4.729
_cell_length_b 8.980
_cell_length_c 8.079
_cell_angle_alpha 90.00
_cell_angle_beta 90.00
_cell_angle_gamma 90.00
loop_
_atom_site_label
_atom_site_type_symbol
_atom_site_fract_x
_atom_site_fract_y
_atom_site_fract_z
_atom_site_occupancy
Na1 Na 0.000 0.080 0.000 1
Na2 Na 0.500 0.158 0.324 1
Sr1 Sr 0.500 0.450 0.974 1
Zn1 Zn 0.000 0.321 0.625 1
Sb1 Sb 0.000 0.375 0.257 1
Sb2 Sb 0.500 0.171 0.706 1
```

Output
The raw formation energy is -13.58 kcal/mol of atoms. Its crystal system is orthorhombic. The calculated density comes out at 4.3 g cm⁻³. For the magnetization, the calculation gives 0.000 μB per atom.

=====

Record 2
Below is a geometry-optimized NaTaSb2 structure, with properties calculated at the PBE-GGA level.

Structure (CIF):
```
data_NaTaSb2
_chemical_formula_sum 'Na1 Ta1 Sb2'
_space_group_name_H-M_alt 'P 4/m m m'
_space_group_IT_number 123
_space_group_name_Hall '-P 4 2'
_cell_length_a 3.422
_cell_length_b 3.422
_cell_length_c 8.187
_cell_angle_alpha 90.00
_cell_angle_beta 90.00
_cell_angle_gamma 90.00
loop_
_atom_site_label
_atom_site_type_symbol
_atom_site_fract_x
_atom_site_fract_y
_atom_site_fract_z
_atom_site_occupancy
Na1 Na 0.000 0.000 0.000 1
Ta1 Ta 0.000 0.000 0.500 1
Sb1 Sb 0.500 0.500 0.292 1
```

Output
The raw formation energy is -1.81 kcal/mol of atoms. The energy relative to the lowest polymorph listed for this composition is 0 meV/atom. Its crystal system is tetragonal. The calculated density comes out at 7.7 g cm⁻³. For the magnetization, the calculation gives 0.000 μB per atom.

=====

Record 3
Below is a geometry-optimized NaTaSb structure, with properties calculated at the PBE-GGA level.

Structure (CIF):
```
data_NaTaSb
_chemical_formula_sum 'Na2 Ta2 Sb2'
_space_group_name_H-M_alt 'P 4/n m m'
_space_group_IT_number 129
_cell_length_a 4.176
_cell_length_b 4.176
_cell_length_c 8.204
_cell_angle_alpha 90.00
_cell_angle_beta 90.00
_cell_angle_gamma 90.00
loop_
_space_group_symop_operation_xyz
'x,y,z'
'-x,-y,-z'
'-y+1/2,x,z'
'y+1/2,-x,-z'
'-x+1/2,-y+1/2,z'
'x+1/2,y+1/2,-z'
'y,-x+1/2,z'
'-y,x+1/2,-z'
'x+1/2,-y,-z'
'-x+1/2,y,z'
'-y,-x,-z'
'y,x,z'
'-x,y+1/2,-z'
'x,-y+1/2,z'
'y+1/2,x+1/2,-z'
'-y+1/2,-x+1/2,z'
loop_
_atom_site_label
_atom_site_type_symbol
_atom_site_fract_x
_atom_site_fract_y
_atom_site_fract_z
_atom_site_occupancy
Na1 Na 0.250 0.250 0.144 1
Ta1 Ta 0.250 0.750 0.500 1
Sb1 Sb 0.250 0.250 0.742 1
```

Output
The raw formation energy is -3.43 kcal/mol of atoms. Its crystal system is tetragonal. The calculated density comes out at 7.6 g cm⁻³. For the magnetization, the calculation gives 0.000 μB per atom.